VASP calculation (PBE) on Th4TlRe after structural relaxation.

Formation energy from the elements   -78 meV/atom
Crystal system   monoclinic

```
Th4TlRe
1.0
6.0991 0.1360 -1.2623
-2.2761 7.1965 -2.8076
0.1378 -0.3221 8.0455
Tl Th Re
2 8 2
Cartesian
3.2274 4.4043 0.4235 Tl
0.7333 2.6061 3.5522 Tl
1.0618 5.1221 -2.0206 Th
0.0628 2.5796 0.3555 Th
3.8979 4.4308 3.6202 Th
2.8989 1.8883 5.9962 Th
-1.7017 6.6515 -0.3464 Th
5.6624 0.3589 4.3221 Th
3.5246 1.3633 1.5782 Th
0.4361 5.6471 2.3975 Th
2.3038 7.2813 -3.7293 Re
1.6569 -0.2708 7.7050 Re
```